Computed, not measured: a relaxed structure of LiLa2Ta at the PBE-GGA level of DFT.

Structure (extended XYZ):
```
4
Lattice="5.241 -0.001 0.005 4.276 3.031 0.005 0.623 0.198 6.688" Properties=species:S:1:pos:R:3 pbc="T T T"
La 9.507 3.026 0.113
La 5.080 1.617 3.247
Li 7.605 2.421 5.024
Ta 2.535 0.807 1.675
```

Output
Offset from the most stable computed form: 0.79 eV per formula unit
Energy of formation from the pure elements: 0.501 eV/atom
DOS at the Fermi energy: 4.673 states/eV/cell
Crystal system: monoclinic

---

Computed, not measured: a relaxed structure of LiLa2Ta at the PBE-GGA level of DFT.

Structure (extended XYZ):
```
4
Lattice="-4.833 0.140 3.620 -2.240 0.051 5.610 -0.745 5.575 1.222" Properties=species:S:1:pos:R:3 pbc="T T T"
La -6.947 0.580 9.084
La -5.943 4.056 7.932
Li -4.165 3.008 5.565
Ta -1.743 1.196 2.327
```

Output
Offset from the most stable computed form: 0.41 eV per formula unit
Energy of formation from the pure elements: 0.406 eV/atom
DOS at the Fermi energy: 4.178 states/eV/cell
Crystal system: monoclinic

---

Computed, not measured: a relaxed structure of LiLa2Ta at the PBE-GGA level of DFT.

Structure (extended XYZ):
```
4
Lattice="5.398 0.000 0.000 0.000 3.299 -0.295 0.000 0.542 5.835" Properties=species:S:1:pos:R:3 pbc="T T T"
La 0.000 0.898 5.288
La 2.699 0.600 1.895
Li 0.000 2.314 2.517
Ta 2.699 2.491 4.446
```

Output
Offset from the most stable computed form: 0.36 eV per formula unit
Energy of formation from the pure elements: 0.394 eV/atom
DOS at the Fermi energy: 5.217 states/eV/cell
Crystal system: monoclinic

---

Computed, not measured: a relaxed structure of LiLa2Ta at the PBE-GGA level of DFT.

Structure (extended XYZ):
```
4
Lattice="-4.985 2.950 -2.735 -5.820 -0.473 2.635 6.110 1.866 0.470" Properties=species:S:1:pos:R:3 pbc="T T T"
La -0.148 0.034 -0.001
La -1.973 2.989 -1.156
Li -5.157 1.183 -0.048
Ta -2.818 1.376 1.525
```

Output
Offset from the most stable computed form: 0.52 eV per formula unit
Energy of formation from the pure elements: 0.433 eV/atom
DOS at the Fermi energy: 4.844 states/eV/cell
Crystal system: orthorhombic

---

Question: Among the records above, which one has the highest DOS at the Fermi energy?
Answer: number 3